[1]
First-principles (GGA-PBE) data for Ca2GaGe after structural relaxation, as listed in the Alexandria database.

Unit cell a=4.9150 b=4.9150 c=19.7163 alpha=90.00 beta=90.00 gamma=90.00
Last column: nearest neighbours and their distance in Å.
Space group I-42d (No. 122)
Asymmetric unit:
Ca1 0.2435 0.2500 0.1250 (multiplicity 8)  2 Ge 3.00, 2 Ga 3.03
Ga1 0.0000 0.0000 0.5000 (multiplicity 4)  4 Ca 3.03
Ge1 0.0000 0.0000 0.0000 (multiplicity 4)  4 Ca 3.00

## Properties
The size of the total moment is 0.00 μB/f.u. As for the formation energy: 0.027 eV per atom. Its volume is 29.77 Å³ per atom. The total DFT energy (no corrections) is -2.8850 eV/atom. The density of states at the Fermi level comes out at 10.19 states/eV per cell. As for the crystal system: tetragonal.

---

[2]
First-principles (GGA-PBE) data for Ca2GaGe after structural relaxation, as listed in the Alexandria database.

Unit cell a=4.9587 b=4.9587 c=3.9721 alpha=90.00 beta=90.00 gamma=90.00
Last column: nearest neighbours and their distance in Å.
Space group P4/mmm (No. 123)
Asymmetric unit:
Ca1 0.0000 0.5000 0.0000 (multiplicity 2)  4 Ge 3.18, 4 Ga 3.18, 4 Ca 3.51
Ga1 0.0000 0.0000 0.5000 (multiplicity 1)  8 Ca 3.18, 4 Ge 3.51
Ge1 0.5000 0.5000 0.5000 (multiplicity 1)  8 Ca 3.18, 4 Ga 3.51

## Properties
The size of the total moment is 0.00 μB/f.u. As for the formation energy: -0.477 eV per atom. Its volume is 24.42 Å³ per atom. The total DFT energy (no corrections) is -3.3889 eV/atom. The density of states at the Fermi level comes out at 1.35 states/eV per cell. As for the crystal system: tetragonal.

---

[3]
First-principles (GGA-PBE) data for Ca3Ga12Ge5 after structural relaxation, as listed in the Alexandria database.

Unit cell a=16.0715 b=16.0715 c=16.0715 alpha=90.00 beta=90.00 gamma=90.00
Last column: nearest neighbours and their distance in Å.
Space group Ia-3d (No. 230)
Asymmetric unit:
Ca1 0.0000 0.2500 0.1250 (multiplicity 24)  4 Ga 2.93
Ga1 0.0488 0.0751 0.6374 (multiplicity 96)  2 Ge 2.50-2.64
Ge1 0.0000 0.0000 0.0000 (multiplicity 16)  6 Ga 2.64
Ge2 0.0000 0.2500 0.3750 (multiplicity 24)  4 Ga 2.50

## Properties
The size of the total moment is 0.00 μB/f.u. As for the formation energy: 0.098 eV per atom. Its volume is 25.94 Å³ per atom. The total DFT energy (no corrections) is -3.1723 eV/atom. The density of states at the Fermi level comes out at 131.82 states/eV per cell. As for the crystal system: cubic.

---

[4]
First-principles (GGA-PBE) data for Ca2GaGe after structural relaxation, as listed in the Alexandria database.

Unit cell a=5.9741 b=4.1645 c=8.7052 alpha=90.00 beta=107.45 gamma=90.00
Last column: nearest neighbours and their distance in Å.
Space group P2_1/m (No. 11)
Asymmetric unit:
Ca1 0.2053 0.2500 0.4274 (multiplicity 2)  3 Ge 3.14-3.24, 4 Ga 3.17-3.24
Ca2 0.2862 0.7500 0.0671 (multiplicity 2)  4 Ge 3.13-3.24, 3 Ga 3.16-3.24
Ga1 0.3615 0.7500 0.7138 (multiplicity 2)  2 Ge 2.61
Ge1 0.1472 0.2500 0.7852 (multiplicity 2)  2 Ga 2.61

## Properties
The size of the total moment is 0.00 μB/f.u. As for the formation energy: -0.596 eV per atom. Its volume is 25.83 Å³ per atom. The total DFT energy (no corrections) is -3.5080 eV/atom. The density of states at the Fermi level comes out at 4.12 states/eV per cell. As for the crystal system: monoclinic.

---

[5]
First-principles (GGA-PBE) data for Ca5Ga2Ge after structural relaxation, as listed in the Alexandria database.

Unit cell a=7.9104 b=7.9104 c=14.6334 alpha=90.00 beta=90.00 gamma=90.00
Last column: nearest neighbours and their distance in Å.
Space group I4/mcm (No. 140)
Asymmetric unit:
Ca1 0.0000 0.0000 0.0000 (multiplicity 4)  4 Ga 3.19
Ca2 0.1777 0.3223 0.1439 (multiplicity 16)  3 Ga 3.15-3.16, 2 Ge 3.30, 1 Ca 3.50
Ga1 0.1124 0.3876 0.5000 (multiplicity 8)  1 Ga 2.51
Ge1 0.0000 0.0000 0.2500 (multiplicity 4)  10 Ca 3.30-3.66

## Properties
The size of the total moment is 0.00 μB/f.u. As for the formation energy: -0.448 eV per atom. Its volume is 28.62 Å³ per atom. The total DFT energy (no corrections) is -3.0331 eV/atom. The density of states at the Fermi level comes out at 25.35 states/eV per cell. As for the crystal system: tetragonal.

---

[6]
First-principles (GGA-PBE) data for Ca3GaGe after structural relaxation, as listed in the Alexandria database.

Unit cell a=16.7319 b=3.7127 c=9.2343 alpha=90.00 beta=97.11 gamma=90.00
Last column: nearest neighbours and their distance in Å.
Space group C2 (No. 5)
Asymmetric unit:
Ca1 0.0481 0.0000 0.1718 (multiplicity 4)  4 Ge 3.24, 1 Ga 3.26, 1 Ca 3.38
Ca2 0.1013 0.5012 0.5885 (multiplicity 4)  1 Ge 3.04, 3 Ga 3.10-3.24
Ca3 0.2478 0.0006 0.8297 (multiplicity 4)  2 Ga 3.12, 3 Ge 3.12-3.16
Ga1 0.2054 0.0010 0.4178 (multiplicity 4)  2 Ga 2.72
Ge1 0.1090 0.5002 0.9190 (multiplicity 4)  8 Ca 3.04-3.24

## Properties
The size of the total moment is 0.00 μB/f.u. As for the formation energy: -0.419 eV per atom. The calculation puts the polymorph energy (0 for the lowest one) at 0.000 eV per atom. Its volume is 28.46 Å³ per atom. The total DFT energy (no corrections) is -3.1493 eV/atom. The density of states at the Fermi level comes out at 8.02 states/eV per cell. As for the crystal system: monoclinic.